# Th3BiCSe

A relaxed structure of Th3BiCSe (GGA-PBE, the Alexandria database).

Total magnetization ... 0.00 μB per cell
Fermi-level density of states ... 9.78 states/eV per cell
Formation energy without anion corrections ... -4.1 eV per formula unit

Lattice parameters (Å, degrees): 7.521 3.883 11.693 90.00 104.32 90.00
Space group P2_1/m (No. 11)
One atom of each set of equivalent atoms:
1 Th 0.149 0.250 0.125 (multiplicity 2)
2 Th 0.263 0.750 0.503 (multiplicity 2)
3 Th 0.293 0.750 0.873 (multiplicity 2)
4 Bi 0.487 0.750 0.291 (multiplicity 2)
5 C 0.108 0.250 0.913 (multiplicity 2)
6 Se 0.009 0.250 0.353 (multiplicity 2)